No. 1
! Er2TmLu3Te2Os, optimized geometry, DFT PBE; values from VASP
&SYSTEM
  ibrav = 0, nat = 9, ntyp = 5
/
ATOMIC_SPECIES
Er 167.26 Er.upf
Tm 168.93 Tm.upf
Lu 174.97 Lu.upf
Te 127.60 Te.upf
Os 190.23 Os.upf
CELL_PARAMETERS angstrom
4.023 0.000 0.000
0.000 7.089 4.065
0.000 -7.089 4.065
ATOMIC_POSITIONS crystal
Er 0.000 0.193 0.807
Er 0.000 0.807 0.193
Tm 0.000 0.423 0.423
Lu 0.500 0.045 0.045
Lu 0.500 0.569 0.807
Lu 0.500 0.807 0.569
Te 0.500 0.140 0.474
Te 0.500 0.474 0.140
Os 0.000 0.804 0.804
! Calculated total energy in eV/atom: -5.6914
! Total magnetic moment in μB per cell: 0.02
! Space group: Amm2
! Crystal system: orthorhombic

=====

No. 2
! Er3LuZr2Te2Os, optimized geometry, DFT PBE; values from VASP
&SYSTEM
  ibrav = 0, nat = 9, ntyp = 5
/
ATOMIC_SPECIES
Er 167.26 Er.upf
Lu 174.97 Lu.upf
Zr 91.22 Zr.upf
Te 127.60 Te.upf
Os 190.23 Os.upf
CELL_PARAMETERS angstrom
3.922 0.000 0.000
0.000 7.037 4.023
0.000 -7.037 4.023
ATOMIC_POSITIONS crystal
Er 0.000 0.000 0.000
Er 0.000 0.382 0.784
Er 0.000 0.784 0.382
Lu 0.500 0.621 0.621
Zr 0.500 0.153 0.396
Zr 0.500 0.396 0.153
Te 0.500 0.055 0.722
Te 0.500 0.722 0.055
Os 0.000 0.352 0.352
! Calculated total energy in eV/atom: -6.5688
! Total magnetic moment in μB per cell: 0.01
! Space group: Amm2
! Crystal system: orthorhombic

=====

No. 3
! ErLu2P3, optimized geometry, DFT PBE; values from VASP
&SYSTEM
  ibrav = 0, nat = 6, ntyp = 3
/
ATOMIC_SPECIES
Er 167.26 Er.upf
Lu 174.97 Lu.upf
P 30.97 P.upf
CELL_PARAMETERS angstrom
3.933 0.000 0.000
-1.967 3.406 0.000
0.000 0.000 9.625
ATOMIC_POSITIONS crystal
Er 0.000 0.000 0.000
Lu 0.333 0.667 0.334
Lu 0.667 0.333 0.666
P 0.000 0.000 0.500
P 0.333 0.667 0.831
P 0.667 0.333 0.169
! Calculated total energy in eV/atom: -6.5675
! Total magnetic moment in μB per cell: 0.02
! Space group: P-3m1
! Crystal system: trigonal

=====

No. 4
! ErLuPt4Pb2, optimized geometry, DFT PBE; values from VASP
&SYSTEM
  ibrav = 0, nat = 8, ntyp = 4
/
ATOMIC_SPECIES
Er 167.26 Er.upf
Lu 174.97 Lu.upf
Pt 195.08 Pt.upf
Pb 207.20 Pb.upf
CELL_PARAMETERS angstrom
4.627 0.000 0.000
-2.313 4.007 0.000
0.000 0.000 8.983
ATOMIC_POSITIONS crystal
Er 0.000 0.000 0.000
Lu 0.333 0.667 0.500
Pt 0.000 0.000 0.346
Pt 0.000 0.000 0.654
Pt 0.333 0.667 0.155
Pt 0.333 0.667 0.845
Pb 0.667 0.333 0.251
Pb 0.667 0.333 0.749
! Calculated total energy in eV/atom: -5.8567
! Total magnetic moment in μB per cell: 0.01
! Space group: P-6m2
! Crystal system: hexagonal

=====

Repeat the second record exactly.
! Er3LuZr2Te2Os, optimized geometry, DFT PBE; values from VASP
&SYSTEM
  ibrav = 0, nat = 9, ntyp = 5
/
ATOMIC_SPECIES
Er 167.26 Er.upf
Lu 174.97 Lu.upf
Zr 91.22 Zr.upf
Te 127.60 Te.upf
Os 190.23 Os.upf
CELL_PARAMETERS angstrom
3.922 0.000 0.000
0.000 7.037 4.023
0.000 -7.037 4.023
ATOMIC_POSITIONS crystal
Er 0.000 0.000 0.000
Er 0.000 0.382 0.784
Er 0.000 0.784 0.382
Lu 0.500 0.621 0.621
Zr 0.500 0.153 0.396
Zr 0.500 0.396 0.153
Te 0.500 0.055 0.722
Te 0.500 0.722 0.055
Os 0.000 0.352 0.352
! Calculated total energy in eV/atom: -6.5688
! Total magnetic moment in μB per cell: 0.01
! Space group: Amm2
! Crystal system: orthorhombic

=====

> Which value of calculated total energy does entry 3 give?

-6.5675 eV/atom

=====

> Look up the calculated total energy of the fourth one.

-5.8567 eV/atom